(1)
First-principles (PBE) data for a relaxed La2Tb7Dy crystal, as listed in Alexandria.

Structure (CIF):
```
data_La2Tb7Dy
_cell_length_a 6.605
_cell_length_b 29.077
_cell_length_c 3.514
_cell_angle_alpha 90.00
_cell_angle_beta 90.00
_cell_angle_gamma 90.00
_space_group_name_H-M_alt 'C m m m'
_space_group_IT_number 65
_space_group_name_Hall '-C 2 2'
loop_
_atom_site_label
_atom_site_fract_x
_atom_site_fract_y
_atom_site_fract_z
La1 0.000 0.206 0.000
Tb1 0.000 0.000 0.000
Tb2 0.000 0.316 0.500
Tb3 0.245 0.403 0.000
Dy1 0.000 0.500 0.500
```

Summary:
The polymorph energy (0 for the lowest one) comes out at 0.133 eV/atom.

=====

(2)
First-principles (PBE) data for a relaxed La2Tb3Dy2 crystal, as listed in Alexandria.

Structure (CIF):
```
data_La2Tb3Dy2
_cell_length_a 11.898
_cell_length_b 3.618
_cell_length_c 10.853
_cell_angle_alpha 90.00
_cell_angle_beta 95.55
_cell_angle_gamma 90.00
_space_group_name_H-M_alt 'C 1 2/m 1'
_space_group_IT_number 12
loop_
_space_group_symop_operation_xyz
'x,y,z'
'-x,-y,-z'
'-x,y,-z'
'x,-y,z'
'x+1/2,y+1/2,z'
'-x+1/2,-y+1/2,-z'
'-x+1/2,y+1/2,-z'
'x+1/2,-y+1/2,z'
loop_
_atom_site_label
_atom_site_fract_x
_atom_site_fract_y
_atom_site_fract_z
La1 0.215 0.000 0.355
Tb1 0.000 0.500 0.500
Tb2 0.142 0.500 0.069
Dy1 0.070 0.000 0.790
```

Summary:
The polymorph energy (0 for the lowest one) comes out at 0.000 eV/atom.

=====

(3)
First-principles (PBE) data for a relaxed LaTbDy2 crystal, as listed in Alexandria.

Structure (CIF):
```
data_LaTbDy2
_cell_length_a 3.607
_cell_length_b 3.607
_cell_length_c 10.152
_cell_angle_alpha 90.00
_cell_angle_beta 90.00
_cell_angle_gamma 90.00
_space_group_name_H-M_alt 'P 4/m m m'
_space_group_IT_number 123
_space_group_name_Hall '-P 4 2'
loop_
_atom_site_label
_atom_site_fract_x
_atom_site_fract_y
_atom_site_fract_z
La1 0.000 0.000 0.000
Tb1 0.000 0.000 0.500
Dy1 0.500 0.500 0.257
```

Summary:
The polymorph energy (0 for the lowest one) comes out at 0.009 eV/atom.

=====

(4)
First-principles (PBE) data for a relaxed LaTbDy4 crystal, as listed in Alexandria.

Structure (CIF):
```
data_LaTbDy4
_cell_length_a 9.375
_cell_length_b 9.375
_cell_length_c 9.375
_cell_angle_alpha 90.00
_cell_angle_beta 90.00
_cell_angle_gamma 90.00
_space_group_name_H-M_alt 'F -4 3 m'
_space_group_IT_number 216
_space_group_name_Hall 'F -4 2 3'
loop_
_atom_site_label
_atom_site_fract_x
_atom_site_fract_y
_atom_site_fract_z
La1 0.000 0.000 0.000
Tb1 0.250 0.250 0.250
Dy1 0.124 0.124 0.624
```

Summary:
The polymorph energy (0 for the lowest one) comes out at 0.133 eV/atom.

=====

(5)
First-principles (PBE) data for a relaxed La5Tb2Dy6 crystal, as listed in Alexandria.

Structure (CIF):
```
data_La5Tb2Dy6
_cell_length_a 11.728
_cell_length_b 20.803
_cell_length_c 3.636
_cell_angle_alpha 90.00
_cell_angle_beta 90.00
_cell_angle_gamma 90.00
_space_group_name_H-M_alt 'P b a m'
_space_group_IT_number 55
loop_
_space_group_symop_operation_xyz
'x,y,z'
'-x,-y,-z'
'-x,-y,z'
'x,y,-z'
'x+1/2,-y+1/2,-z'
'-x+1/2,y+1/2,z'
'-x+1/2,y+1/2,-z'
'x+1/2,-y+1/2,z'
loop_
_atom_site_label
_atom_site_fract_x
_atom_site_fract_y
_atom_site_fract_z
La1 0.000 0.000 0.000
La2 0.079 0.272 0.000
La3 0.200 0.548 0.000
Tb1 0.174 0.710 0.500
Dy1 0.062 0.418 0.500
Dy2 0.080 0.131 0.500
Dy3 0.176 0.860 0.000
```

=====

(6)
First-principles (PBE) data for a relaxed La4Tb2Dy5 crystal, as listed in Alexandria.

Structure (CIF):
```
data_La4Tb2Dy5
_cell_length_a 23.347
_cell_length_b 3.677
_cell_length_c 9.318
_cell_angle_alpha 90.00
_cell_angle_beta 110.40
_cell_angle_gamma 90.00
_space_group_name_H-M_alt 'C 1 2/m 1'
_space_group_IT_number 12
loop_
_space_group_symop_operation_xyz
'x,y,z'
'-x,-y,-z'
'-x,y,-z'
'x,-y,z'
'x+1/2,y+1/2,z'
'-x+1/2,-y+1/2,-z'
'-x+1/2,y+1/2,-z'
'x+1/2,-y+1/2,z'
loop_
_atom_site_label
_atom_site_fract_x
_atom_site_fract_y
_atom_site_fract_z
La1 0.019 0.000 0.325
La2 0.175 0.000 0.374
Tb1 0.111 0.500 0.648
Dy1 0.000 0.500 0.000
Dy2 0.124 0.000 0.978
Dy3 0.242 0.000 0.832
```

=====

(7)
First-principles (PBE) data for a relaxed La7Tb12Dy crystal, as listed in Alexandria.

Structure (CIF):
```
data_La7Tb12Dy
_cell_length_a 11.398
_cell_length_b 11.398
_cell_length_c 11.398
_cell_angle_alpha 90.00
_cell_angle_beta 90.00
_cell_angle_gamma 90.00
_space_group_name_H-M_alt 'I m -3 m'
_space_group_IT_number 229
_space_group_name_Hall '-I 4 2 3'
loop_
_atom_site_label
_atom_site_fract_x
_atom_site_fract_y
_atom_site_fract_z
La1 0.000 0.000 0.500
La2 0.250 0.250 0.250
Tb1 0.000 0.246 0.246
Dy1 0.000 0.000 0.000
```

Summary:
The polymorph energy (0 for the lowest one) comes out at 0.384 eV/atom.

=====

(8)
First-principles (PBE) data for a relaxed La2Tb6Dy3 crystal, as listed in Alexandria.

Structure (CIF):
```
data_La2Tb6Dy3
_cell_length_a 6.172
_cell_length_b 10.584
_cell_length_c 11.813
_cell_angle_alpha 90.00
_cell_angle_beta 99.11
_cell_angle_gamma 90.00
_space_group_name_H-M_alt 'C 1 2/m 1'
_space_group_IT_number 12
loop_
_space_group_symop_operation_xyz
'x,y,z'
'-x,-y,-z'
'-x,y,-z'
'x,-y,z'
'x+1/2,y+1/2,z'
'-x+1/2,-y+1/2,-z'
'-x+1/2,y+1/2,-z'
'x+1/2,-y+1/2,z'
loop_
_atom_site_label
_atom_site_fract_x
_atom_site_fract_y
_atom_site_fract_z
La1 0.000 0.173 0.000
Tb1 0.242 0.167 0.744
Tb2 0.242 0.500 0.746
Dy1 0.000 0.000 0.500
Dy2 0.000 0.335 0.500
```

Summary:
The polymorph energy (0 for the lowest one) comes out at 0.000 eV/atom.

=====

(9)
First-principles (PBE) data for a relaxed LaTbDy2 crystal, as listed in Alexandria.

Structure (CIF):
```
data_LaTbDy2
_cell_length_a 3.6049
_cell_length_b 3.6049
_cell_length_c 35.1782
_cell_angle_alpha 90.00
_cell_angle_beta 90.00
_cell_angle_gamma 120.00
_space_group_name_H-M_alt 'R 3 m'
_space_group_IT_number 160
_space_group_name_Hall 'R 3 -2"'
loop_
_atom_site_label
_atom_site_fract_x
_atom_site_fract_y
_atom_site_fract_z
La1 0.0000 0.0000 0.0000
Tb1 0.0000 0.0000 0.8342
Dy1 0.0000 0.0000 0.2482
Dy2 0.0000 0.0000 0.4198
```

Summary:
The polymorph energy (0 for the lowest one) comes out at 0.005 eV/atom.

=====

(10)
First-principles (PBE) data for a relaxed La8Tb4Dy crystal, as listed in Alexandria.

Structure (CIF):
```
data_La8Tb4Dy
_cell_length_a 11.3533
_cell_length_b 11.3533
_cell_length_c 13.5995
_cell_angle_alpha 90.00
_cell_angle_beta 90.00
_cell_angle_gamma 120.00
_space_group_name_H-M_alt 'R -3 m'
_space_group_IT_number 166
_space_group_name_Hall '-R 3 2"'
loop_
_atom_site_label
_atom_site_fract_x
_atom_site_fract_y
_atom_site_fract_z
La1 0.0000 0.0000 0.2368
La2 0.0125 0.5062 0.7420
Tb1 0.0000 0.0000 0.0000
Tb2 0.0000 0.5000 0.0000
Dy1 0.0000 0.0000 0.5000
```

=====

(11)
First-principles (PBE) data for a relaxed La2Tb3Dy2 crystal, as listed in Alexandria.

Structure (CIF):
```
data_La2Tb3Dy2
_cell_length_a 17.748
_cell_length_b 3.532
_cell_length_c 8.635
_cell_angle_alpha 90.00
_cell_angle_beta 119.02
_cell_angle_gamma 90.00
_space_group_name_H-M_alt 'C 1 2/m 1'
_space_group_IT_number 12
loop_
_space_group_symop_operation_xyz
'x,y,z'
'-x,-y,-z'
'-x,y,-z'
'x,-y,z'
'x+1/2,y+1/2,z'
'-x+1/2,-y+1/2,-z'
'-x+1/2,y+1/2,-z'
'x+1/2,-y+1/2,z'
loop_
_atom_site_label
_atom_site_fract_x
_atom_site_fract_y
_atom_site_fract_z
La1 0.067 0.000 0.219
Tb1 0.000 0.500 0.500
Tb2 0.212 0.500 0.626
Dy1 0.152 0.500 0.965
```

Summary:
The polymorph energy (0 for the lowest one) comes out at 0.107 eV/atom.

=====

(12)
First-principles (PBE) data for a relaxed La12TbDy3 crystal, as listed in Alexandria.

Structure (CIF):
```
data_La12TbDy3
_cell_length_a 5.210
_cell_length_b 5.210
_cell_length_c 20.814
_cell_angle_alpha 90.00
_cell_angle_beta 90.00
_cell_angle_gamma 90.00
_space_group_name_H-M_alt 'P 4/m m m'
_space_group_IT_number 123
_space_group_name_Hall '-P 4 2'
loop_
_atom_site_label
_atom_site_fract_x
_atom_site_fract_y
_atom_site_fract_z
La1 0.000 0.000 0.000
La2 0.000 0.000 0.250
La3 0.000 0.000 0.500
La4 0.000 0.500 0.125
La5 0.000 0.500 0.375
Tb1 0.500 0.500 0.000
Dy1 0.500 0.500 0.250
Dy2 0.500 0.500 0.500
```

=====

Number 1: formation energy from the elements 0.156 eV per atom. Number 2: formation energy from the elements 0.021 eV per atom. Number 3: formation energy from the elements 0.029 eV per atom. Number 4: formation energy from the elements 0.273 eV per atom. Number 5: formation energy from the elements 0.093 eV per atom. Number 6: formation energy from the elements 0.071 eV per atom. Number 7: formation energy from the elements 0.602 eV per atom. Number 8: formation energy from the elements 0.178 eV per atom. Number 9: formation energy from the elements 0.025 eV per atom. Number 10: formation energy from the elements 0.423 eV per atom. Number 11: formation energy from the elements 0.128 eV per atom. Number 12: formation energy from the elements 0.008 eV per atom.